{
  "formula": "ThPaC2",
  "functional": "PBE",
  "state": "relaxed",
  "lattice_angstrom": [[1.8410, 1.0629, 6.0481], [-1.8410, 1.0629, 6.0481], [0.0000, -2.1258, 6.0481]],
  "species": ["Th", "Pa", "C", "C"],
  "frac_coords": [[0.0000, 0.0000, 0.0000], [0.5000, 0.5000, 0.5000], [0.2410, 0.2410, 0.2410], [0.7590, 0.7590, 0.7590]],
  "magmom_total_mub_per_fu": 0.00,
  "n_ef_per_ev_fu": 3.5,
  "e_above_lowest_polymorph_kj_per_mol_atoms": 0.0,
  "energy_ev_per_cell": -36.86,
  "e_form_mev_per_atom": -373.5,
  "volume_a3_per_atom": 17.753
}